Material: TaMnPt2
Method: DFT, PBEsol
State: relaxed

Calculated values
final energy: -38.03 eV/cell
formation energy: -1.8 eV per formula unit
total magnetization: 4.13 μB per cell

Unit cell a=2.813 b=2.813 c=7.644 alpha=90.00 beta=90.00 gamma=90.00
Fractional coordinates of all 4 atoms:
Ta 0.000 0.000 0.000
Mn 0.000 0.000 0.500
Pt 0.500 0.500 0.258
Pt 0.500 0.500 0.742